[1]
Below is La2PbSe after structural relaxation, with properties calculated at the PBE level.

* crystal system: tetragonal
* raw total energy: -5.175 eV/atom

abc: 4.525 4.525 11.934
angles: 90.00 90.00 90.00
Space group I-4m2 (No. 119)
Unique sites:
La (0.000, 0.000, 0.000)
La (0.000, 0.500, 0.250)
Pb (0.000, 0.500, 0.750)
Se (0.000, 0.000, 0.500)

[2]
Below is La2PbSe after structural relaxation, with properties calculated at the PBE level.

* crystal system: orthorhombic
* raw total energy: -5.431 eV/atom

abc: 3.685 3.701 8.378
angles: 90.00 90.00 90.00
Space group Pmmm (No. 47)
Unique sites:
La (0.000, 0.000, 0.226)
Pb (0.500, 0.500, 0.500)
Se (0.500, 0.500, 0.000)

[3]
Below is La2PbSe after structural relaxation, with properties calculated at the PBE level.

* crystal system: cubic
* raw total energy: -5.250 eV/atom

abc: 7.812 7.812 7.812
angles: 90.00 90.00 90.00
Space group Fm-3m (No. 225)
Unique sites:
La (0.250, 0.250, 0.250)
Pb (0.000, 0.000, 0.000)
Se (0.000, 0.000, 0.500)

[4]
Below is La2PbSe after structural relaxation, with properties calculated at the PBE level.

* crystal system: tetragonal
* raw total energy: -5.069 eV/atom

abc: 6.780 6.780 15.128
angles: 90.00 90.00 90.00
Space group I-42d (No. 122)
Unique sites:
La (0.227, 0.250, 0.125)
Pb (0.000, 0.000, 0.500)
Se (0.000, 0.000, 0.000)

[5]
Below is LaPb2Se4 after structural relaxation, with properties calculated at the PBE level.

* crystal system: orthorhombic
* raw total energy: -4.708 eV/atom

abc: 4.297 14.208 13.727
angles: 90.00 90.00 90.00
Space group Cmcm (No. 63)
Unique sites:
La (0.000, 0.098, 0.250)
Pb (0.000, 0.365, 0.060)
Se (0.000, 0.000, 0.000)
Se (0.000, 0.284, 0.640)
Se (0.000, 0.451, 0.250)

[6]
Below is LaPb2Se after structural relaxation, with properties calculated at the PBE level.

* crystal system: tetragonal
* raw total energy: -4.731 eV/atom

abc: 3.870 3.870 8.279
angles: 90.00 90.00 90.00
Space group P4mm (No. 99)
Unique sites:
La (0.000, 0.000, 0.000)
Pb (0.000, 0.000, 0.536)
Pb (0.500, 0.500, 0.308)
Se (0.500, 0.500, 0.852)

[7]
Below is LaPbSe3 after structural relaxation, with properties calculated at the PBE level.

* crystal system: cubic
* raw total energy: -4.394 eV/atom

abc: 5.699 5.699 5.699
angles: 90.00 90.00 90.00
Space group Pm-3m (No. 221)
Unique sites:
La (0.000, 0.000, 0.000)
Pb (0.500, 0.500, 0.500)
Se (0.000, 0.000, 0.500)

[8]
Below is La4SnPbSe2 after structural relaxation, with properties calculated at the PBE level.

* crystal system: monoclinic
* raw total energy: -5.606 eV/atom

abc: 7.800 4.504 7.808
angles: 90.00 109.43 90.00
Space group P2/m (No. 10)
Unique sites:
La (0.244, 0.000, 0.238)
La (0.251, 0.500, 0.760)
Sn (0.000, 0.000, 0.500)
Pb (0.500, 0.500, 0.500)
Se (0.000, 0.500, 0.000)
Se (0.500, 0.000, 0.000)

[9]
Below is Sr2LaPbSe after structural relaxation, with properties calculated at the PBE level.

* crystal system: tetragonal
* raw total energy: -3.925 eV/atom

abc: 5.773 5.773 5.761
angles: 90.00 90.00 90.00
Space group P4/mmm (No. 123)
Unique sites:
Sr (0.000, 0.500, 0.000)
La (0.000, 0.000, 0.500)
Pb (0.500, 0.500, 0.500)
Se (0.000, 0.000, 0.000)

[10]
Below is La6Te2PbSe3 after structural relaxation, with properties calculated at the PBE level.

* crystal system: monoclinic
* raw total energy: -5.801 eV/atom

abc: 19.505 4.464 8.959
angles: 90.00 103.52 90.00
Space group C2/m (No. 12)
Unique sites:
La (0.004, 0.000, 0.242)
La (0.160, 0.500, 0.095)
La (0.170, 0.500, 0.569)
Te (0.168, 0.000, 0.835)
Pb (0.000, 0.500, 0.500)
Se (0.000, 0.500, 0.000)
Se (0.167, 0.000, 0.331)

[11]
Below is La8Te4PbSe3 after structural relaxation, with properties calculated at the PBE level.

* crystal system: trigonal
* raw total energy: -5.760 eV/atom

abc: 8.9592 8.9592 22.2847
angles: 90.00 90.00 120.00
Space group R-3m (No. 166, hexagonal axes)
Unique sites:
La (0.0000, 0.0000, 0.2416)
La (0.0098, 0.5049, 0.7556)
Te (0.0000, 0.0000, 0.0000)
Te (0.0000, 0.5000, 0.0000)
Pb (0.0000, 0.0000, 0.5000)
Se (0.0000, 0.5000, 0.5000)

[12]
Below is LaTlPb2Se4 after structural relaxation, with properties calculated at the PBE level.

* crystal system: monoclinic
* raw total energy: -4.546 eV/atom

abc: 7.599 4.427 7.709
angles: 90.00 108.72 90.00
Space group P2/m (No. 10)
Unique sites:
La (0.000, 0.000, 0.000)
Tl (0.000, 0.500, 0.500)
Pb (0.500, 0.000, 0.500)
Pb (0.500, 0.500, 0.000)
Se (0.245, 0.500, 0.235)
Se (0.254, 0.000, 0.769)

[13]
Below is La2ZnPbSe5 after structural relaxation, with properties calculated at the PBE level.

* crystal system: orthorhombic
* raw total energy: -4.945 eV/atom

abc: 4.190 18.814 12.274
angles: 90.00 90.00 90.00
Space group Cmc2_1 (No. 36)
Unique sites:
La (0.000, 0.107, 0.000)
La (0.000, 0.121, 0.620)
Zn (0.000, 0.443, 0.768)
Pb (0.000, 0.207, 0.330)
Se (0.000, 0.043, 0.376)
Se (0.000, 0.287, 0.006)
Se (0.000, 0.327, 0.656)
Se (0.000, 0.366, 0.316)
Se (0.000, 0.495, 0.090)

[14]
Below is La2ZrPbSe after structural relaxation, with properties calculated at the PBE level.

* crystal system: tetragonal
* raw total energy: -5.667 eV/atom

abc: 5.696 5.696 5.030
angles: 90.00 90.00 90.00
Space group P4/mmm (No. 123)
Unique sites:
La (0.000, 0.500, 0.000)
Zr (0.000, 0.000, 0.500)
Pb (0.500, 0.500, 0.500)
Se (0.000, 0.000, 0.000)

[15]
Below is LaSiPb2 after structural relaxation, with properties calculated at the PBE level.

* crystal system: tetragonal
* raw total energy: -4.703 eV/atom

abc: 4.667 4.667 4.985
angles: 90.00 90.00 90.00
Space group P4/mmm (No. 123)
Unique sites:
La (0.000, 0.000, 0.000)
Si (0.500, 0.500, 0.000)
Pb (0.000, 0.500, 0.500)

[16]
Below is La8SiPb2 after structural relaxation, with properties calculated at the PBE level.

* crystal system: monoclinic
* raw total energy: -5.113 eV/atom

abc: 19.748 5.400 7.056
angles: 90.00 107.94 90.00
Space group C2/m (No. 12)
Unique sites:
La (0.000, 0.000, 0.229)
La (0.085, 0.500, 0.458)
La (0.150, 0.500, 0.993)
La (0.219, 0.000, 0.307)
Si (0.000, 0.500, 0.000)
Pb (0.170, 0.000, 0.732)

[17]
Below is LaSi2Pb after structural relaxation, with properties calculated at the PBE level.

* crystal system: monoclinic
* raw total energy: -5.090 eV/atom

abc: 10.667 3.844 5.838
angles: 90.00 118.80 90.00
Space group C2/m (No. 12)
Unique sites:
La (0.000, 0.000, 0.000)
Si (0.248, 0.500, 0.368)
Pb (0.000, 0.500, 0.500)

[18]
Below is LaSi2Pb after structural relaxation, with properties calculated at the PBE level.

* crystal system: tetragonal
* raw total energy: -4.929 eV/atom

abc: 4.650 4.650 8.844
angles: 90.00 90.00 90.00
Space group I4/mmm (No. 139)
Unique sites:
La (0.000, 0.000, 0.000)
Si (0.000, 0.500, 0.250)
Pb (0.000, 0.000, 0.500)

[19]
Below is La2SiPb2 after structural relaxation, with properties calculated at the PBE level.

* crystal system: tetragonal
* raw total energy: -4.880 eV/atom

abc: 7.928 7.928 4.831
angles: 90.00 90.00 90.00
Space group P4/mbm (No. 127)
Unique sites:
La (0.174, 0.326, 0.000)
Si (0.000, 0.000, 0.500)
Pb (0.137, 0.637, 0.500)

[20]
Below is La4SiPb after structural relaxation, with properties calculated at the PBE level.

* crystal system: monoclinic
* raw total energy: -5.284 eV/atom

abc: 9.102 14.370 6.239
angles: 90.00 111.25 90.00
Space group C2/c (No. 15)
Unique sites:
La (0.110, 0.179, 0.065)
La (0.207, 0.420, 0.353)
Si (0.000, 0.001, 0.750)
Pb (0.000, 0.379, 0.750)

[21]
Below is La4SiPb after structural relaxation, with properties calculated at the PBE level.

* crystal system: monoclinic
* raw total energy: -5.295 eV/atom

abc: 5.965 7.044 9.106
angles: 90.00 100.61 90.00
Space group P2_1/m (No. 11)
Unique sites:
La (0.160, 0.250, 0.046)
La (0.211, 0.750, 0.371)
La (0.331, 0.526, 0.754)
Si (0.347, 0.750, 0.051)
Pb (0.224, 0.250, 0.420)

[22]
Below is LaSi2Pb after structural relaxation, with properties calculated at the PBE level.

* crystal system: monoclinic
* raw total energy: -5.126 eV/atom

abc: 4.688 3.943 5.864
angles: 90.00 113.14 90.00
Space group Pm (No. 6)
Unique sites:
La (0.000, 0.000, 0.000)
Si (0.568, 0.500, 0.139)
Si (0.708, 0.000, 0.419)
Pb (0.283, 0.500, 0.565)

[23]
Below is La12Si6Pb after structural relaxation, with properties calculated at the PBE level.

* crystal system: cubic
* raw total energy: -5.576 eV/atom

abc: 10.506 10.506 10.506
angles: 90.00 90.00 90.00
Space group Im-3 (No. 204)
Unique sites:
La (0.000, 0.298, 0.190)
Si (0.000, 0.112, 0.500)
Pb (0.000, 0.000, 0.000)

[24]
Below is LaSiPb2 after structural relaxation, with properties calculated at the PBE level.

* crystal system: trigonal
* raw total energy: -4.318 eV/atom

abc: 3.7788 3.7788 27.8591
angles: 90.00 90.00 120.00
Space group R-3m (No. 166, hexagonal axes)
Unique sites:
La (0.0000, 0.0000, 0.0000)
Si (0.0000, 0.0000, 0.5000)
Pb (0.0000, 0.0000, 0.2342)

Calculated density? In order: 7.665 8.198 7.856 5.387 6.889 8.467 5.230 6.672 5.192 6.712 6.643 7.257 6.489 6.666 8.893 7.208 6.370 6.988 7.880 6.907 6.985 6.702 5.850 8.407 g/cm3.
Uncorrected formation energy? In order: -3.65 -4.68 -3.95 -3.23 -6.68 -3.10 -2.88 -10.46 -4.14 -19.60 -26.02 -7.72 -12.25 -2.74 -1.04 -3.98 -0.88 -0.23 -1.71 -2.86 -2.93 -1.02 -10.58 0.49 eV/f.u..